[1]
A plane-wave DFT calculation with PBE was carried out for CdInBi2 after structural relaxation.

Cell lengths 7.764, 7.764, 7.764 Å; angles 90.00, 90.00, 90.00 degrees
Element x y z (fractional)
Cd 0.000 0.000 0.000
Cd 0.000 0.500 0.500
Cd 0.500 0.000 0.500
Cd 0.500 0.500 0.000
In 0.250 0.250 0.750
In 0.250 0.750 0.250
In 0.750 0.250 0.250
In 0.750 0.750 0.750
Bi 0.000 0.000 0.500
Bi 0.000 0.500 0.000
Bi 0.250 0.250 0.250
Bi 0.250 0.750 0.750
Bi 0.500 0.000 0.000
Bi 0.500 0.500 0.500
Bi 0.750 0.250 0.750
Bi 0.750 0.750 0.250

Output
energy: -45.6 eV for the cell shown
calculated volume: 29.3 Å³/atom

[2]
A plane-wave DFT calculation with PBE was carried out for LiTbB4 after structural relaxation.

Cell lengths 3.231, 3.231, 6.314 Å; angles 90.00, 90.00, 120.00 degrees
Element x y z (fractional)
Li 0.000 0.000 0.000
Tb 0.000 0.000 0.500
B 0.333 0.667 0.199
B 0.333 0.667 0.801
B 0.667 0.333 0.199
B 0.667 0.333 0.801

Output
energy: -34.4 eV for the cell shown
polymorph energy (0 for the lowest one): 39.1 meV per atom
calculated volume: 9.5 Å³/atom

[3]
A plane-wave DFT calculation with PBE was carried out for NiHgAsPt after structural relaxation.

Cell lengths 6.417, 6.417, 6.417 Å; angles 90.00, 90.00, 90.00 degrees
Element x y z (fractional)
Ni 0.000 0.000 0.000
Ni 0.000 0.500 0.500
Ni 0.500 0.000 0.500
Ni 0.500 0.500 0.000
Hg 0.250 0.250 0.250
Hg 0.250 0.750 0.750
Hg 0.750 0.250 0.750
Hg 0.750 0.750 0.250
As 0.250 0.250 0.750
As 0.250 0.750 0.250
As 0.750 0.250 0.250
As 0.750 0.750 0.750
Pt 0.000 0.000 0.500
Pt 0.000 0.500 0.000
Pt 0.500 0.000 0.000
Pt 0.500 0.500 0.500

Output
energy: -63.7 eV for the cell shown
polymorph energy (0 for the lowest one): 0.0 meV per atom
calculated volume: 16.5 Å³/atom

[4]
A plane-wave DFT calculation with PBE was carried out for BeSb2Ir after structural relaxation.

Cell lengths 6.692, 6.692, 6.692 Å; angles 90.00, 90.00, 90.00 degrees
Element x y z (fractional)
Be 0.000 0.000 0.000
Be 0.000 0.500 0.500
Be 0.500 0.000 0.500
Be 0.500 0.500 0.000
Sb 0.000 0.000 0.500
Sb 0.000 0.500 0.000
Sb 0.250 0.250 0.750
Sb 0.250 0.750 0.250
Sb 0.500 0.000 0.000
Sb 0.500 0.500 0.500
Sb 0.750 0.250 0.250
Sb 0.750 0.750 0.750
Ir 0.250 0.250 0.250
Ir 0.250 0.750 0.750
Ir 0.750 0.250 0.750
Ir 0.750 0.750 0.250

Output
energy: -72.9 eV for the cell shown
calculated volume: 18.7 Å³/atom

[5]
A plane-wave DFT calculation with PBE was carried out for Zr4ZnSN2 after structural relaxation.

Cell lengths 3.337, 3.337, 13.001 Å; angles 90.00, 90.00, 120.00 degrees
Element x y z (fractional)
Zr 0.000 0.000 0.140
Zr 0.000 0.000 0.860
Zr 0.667 0.333 0.329
Zr 0.667 0.333 0.671
Zn 0.000 0.000 0.500
S 0.667 0.333 0.000
N 0.333 0.667 0.240
N 0.333 0.667 0.760

Output
energy: -66.5 eV for the cell shown
calculated volume: 15.7 Å³/atom

[6]
A plane-wave DFT calculation with PBE was carried out for YTmIn2 after structural relaxation.

Cell lengths 4.284, 4.526, 11.384 Å; angles 90.00, 90.00, 90.00 degrees
Element x y z (fractional)
Y 0.000 0.000 0.000
Y 0.000 0.500 0.500
Tm 0.500 0.000 0.724
Tm 0.500 0.500 0.224
In 0.000 0.000 0.275
In 0.000 0.500 0.775
In 0.500 0.000 0.449
In 0.500 0.500 0.949

Output
energy: -36.2 eV for the cell shown
calculated volume: 27.6 Å³/atom

[7]
A plane-wave DFT calculation with PBE was carried out for Dy6InGa2 after structural relaxation.

Cell lengths 8.643, 8.643, 8.643 Å; angles 112.11, 112.03, 104.40 degrees
Element x y z (fractional)
Dy 0.038 0.240 0.798
Dy 0.184 0.278 0.462
Dy 0.184 0.722 0.906
Dy 0.321 0.024 0.703
Dy 0.321 0.617 0.297
Dy 0.442 0.240 0.202
Dy 0.558 0.760 0.798
Dy 0.679 0.383 0.703
Dy 0.679 0.976 0.297
Dy 0.816 0.278 0.094
Dy 0.816 0.722 0.538
Dy 0.962 0.760 0.202
In 0.000 0.000 0.000
In 0.500 0.500 0.000
Ga 0.121 0.621 0.500
Ga 0.353 0.000 0.353
Ga 0.647 0.000 0.647
Ga 0.879 0.379 0.500

Output
energy: -80.5 eV for the cell shown
calculated volume: 27.5 Å³/atom

[8]
A plane-wave DFT calculation with PBE was carried out for Sc3AgN after structural relaxation.

Cell lengths 4.432, 4.432, 4.432 Å; angles 90.00, 90.00, 90.00 degrees
Element x y z (fractional)
Sc 0.000 0.000 0.500
Sc 0.000 0.500 0.000
Sc 0.500 0.000 0.000
Ag 0.500 0.500 0.500
N 0.000 0.000 0.000

Output
energy: -34.6 eV for the cell shown
polymorph energy (0 for the lowest one): 25.6 meV per atom
calculated volume: 17.4 Å³/atom

[9]
A plane-wave DFT calculation with PBE was carried out for DyHo2Cd3InGa2 after structural relaxation.

Cell lengths 4.502, 7.298, 7.298 Å; angles 120.02, 90.00, 90.00 degrees
Element x y z (fractional)
Dy 0.000 0.000 0.000
Ho 0.000 0.125 0.563
Ho 0.000 0.563 0.125
Cd 0.500 0.307 0.307
Cd 0.500 0.563 0.818
Cd 0.500 0.818 0.563
In 0.000 0.563 0.563
Ga 0.500 0.229 0.896
Ga 0.500 0.896 0.229

Output
energy: -29.6 eV for the cell shown
calculated volume: 23.1 Å³/atom

[10]
A plane-wave DFT calculation with PBE was carried out for SrLuFe after structural relaxation.

Cell lengths 6.948, 6.948, 6.948 Å; angles 90.00, 90.00, 90.00 degrees
Element x y z (fractional)
Sr 0.000 0.000 0.000
Sr 0.000 0.500 0.500
Sr 0.500 0.000 0.500
Sr 0.500 0.500 0.000
Lu 0.000 0.000 0.500
Lu 0.000 0.500 0.000
Lu 0.500 0.000 0.000
Lu 0.500 0.500 0.500
Fe 0.250 0.250 0.750
Fe 0.250 0.750 0.250
Fe 0.750 0.250 0.250
Fe 0.750 0.750 0.750

Output
energy: -50.3 eV for the cell shown
polymorph energy (0 for the lowest one): 0.0 meV per atom
calculated volume: 28.0 Å³/atom

[11]
A plane-wave DFT calculation with PBE was carried out for KPuTlS3 after structural relaxation.

Cell lengths 8.185, 8.185, 11.523 Å; angles 90.00, 90.00, 151.26 degrees
Element x y z (fractional)
K 0.160 0.840 0.750
K 0.840 0.160 0.250
Pu 0.500 0.500 0.000
Pu 0.500 0.500 0.500
Tl 0.137 0.863 0.250
Tl 0.863 0.137 0.750
S 0.108 0.892 0.503
S 0.108 0.892 0.997
S 0.494 0.506 0.750
S 0.506 0.494 0.250
S 0.892 0.108 0.003
S 0.892 0.108 0.497

Output
energy: -73.2 eV for the cell shown
calculated volume: 30.9 Å³/atom

[12]
A plane-wave DFT calculation with PBE was carried out for TaCu6W after structural relaxation.

Cell lengths 4.269, 5.453, 4.459 Å; angles 90.00, 90.00, 90.00 degrees
Element x y z (fractional)
Ta 0.000 0.000 0.000
Cu 0.000 0.257 0.506
Cu 0.000 0.500 0.021
Cu 0.000 0.743 0.506
Cu 0.500 0.000 0.653
Cu 0.500 0.254 0.183
Cu 0.500 0.746 0.183
W 0.500 0.500 0.690

Output
energy: -44.9 eV for the cell shown
formation energy from the elements: 0.279 eV per atom
calculated volume: 13.0 Å³/atom